Entry A
VASP calculation (PBE-GGA) on an optimized crystal structure of MgTiRu3.

abc: 4.531 4.531 4.531
angles: 90.00 90.00 90.00
Positions (direct):
Mg1 0.000 0.000 0.000
Ti1 0.500 0.500 0.500
Ru1 0.000 0.500 0.500
Ru2 0.500 0.000 0.500
Ru3 0.500 0.500 0.000

Size of the total moment: 0.4 Bohr magnetons per cell



Entry B
VASP calculation (PBE-GGA) on an optimized crystal structure of MgTiRu3.

abc: 4.407 4.407 4.407
angles: 90.00 90.00 90.00
Positions (direct):
Mg1 0.000 0.000 0.000
Ti1 0.500 0.500 0.500
Ru1 0.000 0.000 0.500
Ru2 0.000 0.500 0.000
Ru3 0.500 0.000 0.000

Size of the total moment: 0.0 Bohr magnetons per cell



Least stable structure: entry B



Entry A
VASP calculation (PBE-GGA) on an optimized crystal structure of Mg3TiRu.

abc: 5.048 5.048 5.048
angles: 90.00 90.00 90.00
Positions (direct):
Mg1 0.000 0.000 0.500
Mg2 0.000 0.500 0.000
Mg3 0.500 0.000 0.000
Ti1 0.000 0.000 0.000
Ru1 0.500 0.500 0.500

Size of the total moment: 5.4 Bohr magnetons per cell



Entry B
VASP calculation (PBE-GGA) on an optimized crystal structure of Mg3TiRu.

abc: 4.822 4.822 4.822
angles: 90.00 90.00 90.00
Positions (direct):
Mg1 0.000 0.000 0.500
Mg2 0.000 0.500 0.000
Mg3 0.500 0.000 0.000
Ti1 0.500 0.500 0.500
Ru1 0.000 0.000 0.000

Size of the total moment: 0.0 Bohr magnetons per cell



Least stable structure: entry A



Entry A
VASP calculation (PBE-GGA) on an optimized crystal structure of Tm4MgRu.

abc: 8.420 6.921 5.928
angles: 90.00 100.79 90.00
Positions (direct):
Tm1 0.130 0.138 0.408
Tm2 0.130 0.362 0.908
Tm3 0.284 0.620 0.434
Tm4 0.284 0.880 0.934
Tm5 0.716 0.120 0.066
Tm6 0.716 0.380 0.566
Tm7 0.870 0.638 0.092
Tm8 0.870 0.862 0.592
Mg1 0.500 0.000 0.500
Mg2 0.500 0.500 0.000
Ru1 0.000 0.000 0.000
Ru2 0.000 0.500 0.500

Size of the total moment: 0.0 Bohr magnetons per cell



Entry B
VASP calculation (PBE-GGA) on an optimized crystal structure of Tm4MgRu.

abc: 9.568 9.568 9.568
angles: 60.00 60.00 60.00
Positions (direct):
Tm1 0.032 0.656 0.656
Tm2 0.062 0.062 0.438
Tm3 0.062 0.438 0.062
Tm4 0.062 0.438 0.438
Tm5 0.187 0.187 0.813
Tm6 0.187 0.813 0.187
Tm7 0.187 0.813 0.813
Tm8 0.438 0.062 0.062
Tm9 0.438 0.062 0.438
Tm10 0.438 0.438 0.062
Tm11 0.656 0.032 0.656
Tm12 0.656 0.656 0.032
Tm13 0.656 0.656 0.656
Tm14 0.813 0.187 0.187
Tm15 0.813 0.187 0.813
Tm16 0.813 0.813 0.187
Mg1 0.421 0.421 0.421
Mg2 0.421 0.421 0.738
Mg3 0.421 0.738 0.421
Mg4 0.738 0.421 0.421
Ru1 0.418 0.861 0.861
Ru2 0.861 0.418 0.861
Ru3 0.861 0.861 0.418
Ru4 0.861 0.861 0.861

Size of the total moment: 0.0 Bohr magnetons per cell



Least stable structure: entry A



Entry A
VASP calculation (PBE-GGA) on an optimized crystal structure of YTmMgRu.

abc: 4.997 4.997 4.997
angles: 60.00 60.00 60.00
Positions (direct):
Y1 0.000 0.000 0.000
Tm1 0.500 0.500 0.500
Mg1 0.250 0.250 0.250
Ru1 0.750 0.750 0.750

Size of the total moment: 0.0 Bohr magnetons per cell



Entry B
VASP calculation (PBE-GGA) on an optimized crystal structure of YTmMgRu.

abc: 3.434 3.434 8.010
angles: 90.00 90.00 90.00
Positions (direct):
Y1 0.000 0.000 0.000
Tm1 0.000 0.000 0.592
Mg1 0.500 0.500 0.299
Ru1 0.500 0.500 0.789

Size of the total moment: 0.0 Bohr magnetons per cell



Least stable structure: entry A



Entry A
VASP calculation (PBE-GGA) on an optimized crystal structure of Mg2VRu.

abc: 4.541 4.541 4.541
angles: 60.00 60.00 60.00
Positions (direct):
Mg1 0.250 0.250 0.250
Mg2 0.750 0.750 0.750
V1 0.000 0.000 0.000
Ru1 0.500 0.500 0.500

Size of the total moment: 3.3 Bohr magnetons per cell



Entry B
VASP calculation (PBE-GGA) on an optimized crystal structure of Mg2VRu.

abc: 5.811 5.811 5.811
angles: 102.02 102.02 125.70
Positions (direct):
Mg1 0.106 0.625 0.981
Mg2 0.375 0.356 0.481
Mg3 0.644 0.125 0.019
Mg4 0.875 0.894 0.519
V1 0.250 0.750 0.500
V2 0.500 0.500 0.000
Ru1 0.000 0.000 0.000
Ru2 0.750 0.250 0.500

Size of the total moment: 5.4 Bohr magnetons per cell



Least stable structure: entry B



Entry A
VASP calculation (PBE-GGA) on an optimized crystal structure of MgVRu3.

abc: 4.389 4.389 4.389
angles: 90.00 90.00 90.00
Positions (direct):
Mg1 0.000 0.000 0.000
V1 0.500 0.500 0.500
Ru1 0.000 0.000 0.500
Ru2 0.000 0.500 0.000
Ru3 0.500 0.000 0.000

Size of the total moment: 0.1 Bohr magnetons per cell



Entry B
VASP calculation (PBE-GGA) on an optimized crystal structure of MgVRu3.

abc: 4.473 4.473 4.473
angles: 90.00 90.00 90.00
Positions (direct):
Mg1 0.000 0.000 0.000
V1 0.500 0.500 0.500
Ru1 0.000 0.500 0.500
Ru2 0.500 0.000 0.500
Ru3 0.500 0.500 0.000

Size of the total moment: 0.0 Bohr magnetons per cell



Least stable structure: entry A



Entry A
VASP calculation (PBE-GGA) on an optimized crystal structure of MgVRu.

abc: 4.149 4.149 7.649
angles: 105.52 105.52 60.41
Positions (direct):
Mg1 0.129 0.129 0.381
Mg2 0.871 0.871 0.619
V1 0.375 0.375 0.124
V2 0.625 0.625 0.876
Ru1 0.265 0.265 0.797
Ru2 0.735 0.735 0.203

Size of the total moment: 0.0 Bohr magnetons per cell



Entry B
VASP calculation (PBE-GGA) on an optimized crystal structure of MgVRu.

abc: 5.330 5.330 5.330
angles: 146.28 146.28 48.42
Positions (direct):
Mg1 0.000 0.000 0.000
V1 0.694 0.694 0.000
Ru1 0.317 0.317 0.000

Size of the total moment: 0.6 Bohr magnetons per cell



Least stable structure: entry A



Entry A
VASP calculation (PBE-GGA) on an optimized crystal structure of Mg2RuW.

abc: 3.158 4.407 4.663
angles: 90.00 90.00 90.00
Positions (direct):
Mg1 0.000 0.000 0.000
Mg2 0.500 0.500 0.000
Ru1 0.000 0.500 0.500
W1 0.500 0.000 0.500

Size of the total moment: 0.0 Bohr magnetons per cell



Entry B
VASP calculation (PBE-GGA) on an optimized crystal structure of Mg2RuW.

abc: 2.806 2.806 9.405
angles: 90.00 90.00 112.26
Positions (direct):
Mg1 0.000 0.000 0.000
Mg2 0.500 0.500 0.286
Ru1 0.500 0.500 0.764
W1 0.000 0.000 0.543

Size of the total moment: 0.0 Bohr magnetons per cell



Entry C
VASP calculation (PBE-GGA) on an optimized crystal structure of Mg2RuW.

abc: 2.759 4.599 5.322
angles: 90.00 104.76 90.00
Positions (direct):
Mg1 0.199 0.000 0.256
Mg2 0.801 0.000 0.744
Ru1 0.000 0.500 0.500
W1 0.500 0.500 0.000

Size of the total moment: 0.5 Bohr magnetons per cell



Entry D
VASP calculation (PBE-GGA) on an optimized crystal structure of Mg2RuW.

abc: 9.449 9.449 9.449
angles: 17.41 17.41 17.41
Positions (direct):
Mg1 0.245 0.245 0.245
Mg2 0.755 0.755 0.755
Ru1 0.500 0.500 0.500
W1 0.000 0.000 0.000

Size of the total moment: 0.0 Bohr magnetons per cell



Least stable structure: entry D



Entry A
VASP calculation (PBE-GGA) on an optimized crystal structure of Mg2RuW.

abc: 4.525 4.525 4.525
angles: 60.00 60.00 60.00
Positions (direct):
Mg1 0.250 0.250 0.250
Mg2 0.750 0.750 0.750
Ru1 0.000 0.000 0.000
W1 0.500 0.500 0.500

Size of the total moment: 1.7 Bohr magnetons per cell



Entry B
VASP calculation (PBE-GGA) on an optimized crystal structure of Mg2RuW.

abc: 5.796 5.796 5.796
angles: 101.77 101.77 126.30
Positions (direct):
Mg1 0.104 0.125 0.479
Mg2 0.375 0.896 0.021
Mg3 0.646 0.625 0.521
Mg4 0.875 0.354 0.979
Ru1 0.000 0.000 0.000
Ru2 0.750 0.250 0.500
W1 0.250 0.750 0.500
W2 0.500 0.500 0.000

Size of the total moment: 0.0 Bohr magnetons per cell



Least stable structure: entry B



Entry A
VASP calculation (PBE-GGA) on an optimized crystal structure of Mg2RuW.

abc: 4.687 4.687 5.253
angles: 95.74 95.74 35.55
Positions (direct):
Mg1 0.000 0.000 0.000
Mg2 0.242 0.242 0.755
Ru1 0.500 0.500 0.472
W1 0.751 0.751 0.283

Size of the total moment: 0.0 Bohr magnetons per cell



Entry B
VASP calculation (PBE-GGA) on an optimized crystal structure of Mg2RuW.

abc: 2.734 2.734 9.115
angles: 90.00 90.00 106.65
Positions (direct):
Mg1 0.000 0.000 0.238
Mg2 0.000 0.000 0.762
Ru1 0.500 0.500 0.000
W1 0.500 0.500 0.500

Size of the total moment: 0.1 Bohr magnetons per cell



Least stable structure: entry B



Entry A
VASP calculation (PBE-GGA) on an optimized crystal structure of Mg2RuW.

abc: 3.098 3.098 7.223
angles: 90.00 90.00 90.00
Positions (direct):
Mg1 0.000 0.000 0.000
Mg2 0.500 0.500 0.304
Ru1 0.000 0.000 0.545
W1 0.500 0.500 0.738

Size of the total moment: 0.0 Bohr magnetons per cell



Entry B
VASP calculation (PBE-GGA) on an optimized crystal structure of Mg2RuW.

abc: 4.477 4.477 4.477
angles: 60.00 60.00 60.00
Positions (direct):
Mg1 0.000 0.000 0.000
Mg2 0.250 0.250 0.250
Ru1 0.750 0.750 0.750
W1 0.500 0.500 0.500

Size of the total moment: 0.0 Bohr magnetons per cell



Least stable structure: entry B



Entry A
VASP calculation (PBE-GGA) on an optimized crystal structure of Mg3RuW.

abc: 5.099 5.099 5.099
angles: 90.00 90.00 90.00
Positions (direct):
Mg1 0.000 0.000 0.500
Mg2 0.000 0.500 0.000
Mg3 0.500 0.000 0.000
Ru1 0.500 0.500 0.500
W1 0.000 0.000 0.000

Size of the total moment: 5.0 Bohr magnetons per cell



Entry B
VASP calculation (PBE-GGA) on an optimized crystal structure of Mg3RuW.

abc: 4.707 4.707 4.707
angles: 90.00 90.00 90.00
Positions (direct):
Mg1 0.000 0.000 0.500
Mg2 0.000 0.500 0.000
Mg3 0.500 0.000 0.000
Ru1 0.000 0.000 0.000
W1 0.500 0.500 0.500

Size of the total moment: 0.0 Bohr magnetons per cell



Least stable structure: entry A



Entry A
VASP calculation (PBE-GGA) on an optimized crystal structure of MgRu3W.

abc: 4.692 4.692 4.692
angles: 90.00 90.00 90.00
Positions (direct):
Mg1 0.000 0.000 0.000
Ru1 0.000 0.500 0.500
Ru2 0.500 0.000 0.500
Ru3 0.500 0.500 0.000
W1 0.500 0.500 0.500

Size of the total moment: 1.2 Bohr magnetons per cell



Entry B
VASP calculation (PBE-GGA) on an optimized crystal structure of MgRu3W.

abc: 4.331 4.331 4.331
angles: 90.00 90.00 90.00
Positions (direct):
Mg1 0.000 0.000 0.000
Ru1 0.000 0.000 0.500
Ru2 0.000 0.500 0.000
Ru3 0.500 0.000 0.000
W1 0.500 0.500 0.500

Size of the total moment: 0.0 Bohr magnetons per cell



Least stable structure: entry B